{
  "formula": "CsTc2MoRu",
  "functional": "meta-GGA SCAN",
  "state": "PBEsol geometry",
  "formation_energy_ev_per_atom": 1.867,
  "dos_at_fermi_per_ev_cell": 3.92,
  "lattice": [[4.771, 0.000, 0.000], [0.000, 4.771, 0.000], [0.000, 0.000, 4.802]],
  "species": ["Cs", "Tc", "Tc", "Mo", "Ru"],
  "fractional_positions": [[0.000, 0.000, 0.000], [0.000, 0.500, 0.500], [0.500, 0.000, 0.500], [0.500, 0.500, 0.000], [0.500, 0.500, 0.500]]
}

---

{
  "formula": "Cs2MoS4",
  "functional": "meta-GGA SCAN",
  "state": "PBEsol geometry",
  "final_energy_ev_per_atom": -22.457,
  "dos_at_fermi_per_ev_cell": 0.00,
  "lattice": [[10.046, 0.000, 0.000], [0.000, 7.110, 0.000], [0.000, 0.000, 12.595]],
  "species": ["Cs", "Cs", "Cs", "Cs", "Cs", "Cs", "Cs", "Cs", "Mo", "Mo", "Mo", "Mo", "S", "S", "S", "S", "S", "S", "S", "S", "S", "S", "S", "S", "S", "S", "S", "S"],
  "fractional_positions": [[0.036, 0.250, 0.168], [0.154, 0.750, 0.398], [0.346, 0.250, 0.898], [0.464, 0.750, 0.668], [0.536, 0.250, 0.332], [0.654, 0.750, 0.102], [0.846, 0.250, 0.602], [0.964, 0.750, 0.832], [0.246, 0.750, 0.079], [0.254, 0.250, 0.579], [0.746, 0.750, 0.421], [0.754, 0.250, 0.921], [0.031, 0.750, 0.107], [0.165, 0.001, 0.651], [0.165, 0.499, 0.651], [0.211, 0.250, 0.409], [0.289, 0.750, 0.909], [0.335, 0.501, 0.151], [0.335, 0.999, 0.151], [0.469, 0.250, 0.607], [0.531, 0.750, 0.393], [0.665, 0.001, 0.849], [0.665, 0.499, 0.849], [0.711, 0.250, 0.091], [0.789, 0.750, 0.591], [0.835, 0.501, 0.349], [0.835, 0.999, 0.349], [0.969, 0.250, 0.893]]
}

---

{
  "formula": "Cs2Mo15S19",
  "functional": "meta-GGA SCAN",
  "state": "PBEsol geometry",
  "final_energy_ev_per_atom": -22.562,
  "dos_at_fermi_per_ev_cell": 36.66,
  "lattice": [[4.682, 2.703, 18.722], [-4.682, 2.703, 18.722], [0.000, -5.407, 18.722]],
  "species": ["Cs", "Cs", "Cs", "Cs", "Mo", "Mo", "Mo", "Mo", "Mo", "Mo", "Mo", "Mo", "Mo", "Mo", "Mo", "Mo", "Mo", "Mo", "Mo", "Mo", "Mo", "Mo", "Mo", "Mo", "Mo", "Mo", "Mo", "Mo", "Mo", "Mo", "Mo", "Mo", "Mo", "Mo", "S", "S", "S", "S", "S", "S", "S", "S", "S", "S", "S", "S", "S", "S", "S", "S", "S", "S", "S", "S", "S", "S", "S", "S", "S", "S", "S", "S", "S", "S", "S", "S", "S", "S", "S", "S", "S", "S"],
  "fractional_positions": [[0.113, 0.113, 0.113], [0.387, 0.387, 0.387], [0.613, 0.613, 0.613], [0.887, 0.887, 0.887], [0.002, 0.865, 0.194], [0.040, 0.371, 0.217], [0.085, 0.250, 0.415], [0.129, 0.460, 0.283], [0.135, 0.806, 0.998], [0.194, 0.002, 0.865], [0.217, 0.040, 0.371], [0.250, 0.415, 0.085], [0.283, 0.129, 0.460], [0.306, 0.635, 0.498], [0.365, 0.502, 0.694], [0.371, 0.217, 0.040], [0.415, 0.085, 0.250], [0.460, 0.283, 0.129], [0.498, 0.306, 0.635], [0.502, 0.694, 0.365], [0.540, 0.717, 0.871], [0.585, 0.915, 0.750], [0.629, 0.783, 0.960], [0.635, 0.498, 0.306], [0.694, 0.365, 0.502], [0.717, 0.871, 0.540], [0.750, 0.585, 0.915], [0.783, 0.960, 0.629], [0.806, 0.998, 0.135], [0.865, 0.194, 0.002], [0.871, 0.540, 0.717], [0.915, 0.750, 0.585], [0.960, 0.629, 0.783], [0.998, 0.135, 0.806], [0.016, 0.699, 0.427], [0.049, 0.298, 0.702], [0.051, 0.449, 0.750], [0.053, 0.053, 0.053], [0.073, 0.801, 0.484], [0.177, 0.177, 0.177], [0.199, 0.516, 0.927], [0.202, 0.451, 0.798], [0.202, 0.798, 0.549], [0.250, 0.949, 0.551], [0.298, 0.702, 0.049], [0.298, 0.951, 0.702], [0.301, 0.573, 0.984], [0.323, 0.323, 0.323], [0.427, 0.016, 0.699], [0.447, 0.447, 0.447], [0.449, 0.750, 0.051], [0.451, 0.798, 0.202], [0.484, 0.073, 0.801], [0.516, 0.927, 0.199], [0.549, 0.202, 0.798], [0.551, 0.250, 0.949], [0.553, 0.553, 0.553], [0.573, 0.984, 0.301], [0.677, 0.677, 0.677], [0.699, 0.427, 0.016], [0.702, 0.049, 0.298], [0.702, 0.298, 0.951], [0.750, 0.051, 0.449], [0.798, 0.202, 0.451], [0.798, 0.549, 0.202], [0.801, 0.484, 0.073], [0.823, 0.823, 0.823], [0.927, 0.199, 0.516], [0.947, 0.947, 0.947], [0.949, 0.551, 0.250], [0.951, 0.702, 0.298], [0.984, 0.301, 0.573]]
}

---

{
  "formula": "Cs2SbMo",
  "functional": "meta-GGA SCAN",
  "state": "PBEsol geometry",
  "final_energy_ev_per_atom": -36.016,
  "dos_at_fermi_per_ev_cell": 2.44,
  "lattice": [[0.000, 4.329, 4.329], [4.329, 0.000, 4.329], [4.329, 4.329, 0.000]],
  "species": ["Cs", "Cs", "Sb", "Mo"],
  "fractional_positions": [[0.250, 0.250, 0.250], [0.750, 0.750, 0.750], [0.000, 0.000, 0.000], [0.500, 0.500, 0.500]]
}

---

{
  "formula": "CsScMo2",
  "functional": "meta-GGA SCAN",
  "state": "PBEsol geometry",
  "formation_energy_ev_per_atom": 1.926,
  "dos_at_fermi_per_ev_cell": 6.27,
  "lattice": [[0.000, 3.369, 3.369], [3.369, 0.000, 3.369], [3.369, 3.369, 0.000]],
  "species": ["Cs", "Sc", "Mo", "Mo"],
  "fractional_positions": [[0.000, 0.000, 0.000], [0.500, 0.500, 0.500], [0.250, 0.250, 0.250], [0.750, 0.750, 0.750]]
}

---

{
  "formula": "Cs3Mo15Se17",
  "functional": "meta-GGA SCAN",
  "state": "PBEsol geometry",
  "final_energy_ev_per_atom": -28.678,
  "dos_at_fermi_per_ev_cell": 17.52,
  "lattice": [[9.580, 0.000, 0.000], [-4.790, 8.297, 0.000], [0.000, 0.000, 20.796]],
  "species": ["Cs", "Cs", "Cs", "Cs", "Cs", "Cs", "Mo", "Mo", "Mo", "Mo", "Mo", "Mo", "Mo", "Mo", "Mo", "Mo", "Mo", "Mo", "Mo", "Mo", "Mo", "Mo", "Mo", "Mo", "Mo", "Mo", "Mo", "Mo", "Mo", "Mo", "Mo", "Mo", "Mo", "Mo", "Mo", "Mo", "Se", "Se", "Se", "Se", "Se", "Se", "Se", "Se", "Se", "Se", "Se", "Se", "Se", "Se", "Se", "Se", "Se", "Se", "Se", "Se", "Se", "Se", "Se", "Se", "Se", "Se", "Se", "Se", "Se", "Se", "Se", "Se", "Se", "Se"],
  "fractional_positions": [[0.000, 0.000, 0.138], [0.000, 0.000, 0.362], [0.000, 0.000, 0.638], [0.000, 0.000, 0.862], [0.333, 0.667, 0.250], [0.667, 0.333, 0.750], [0.164, 0.643, 0.534], [0.164, 0.643, 0.966], [0.164, 0.645, 0.750], [0.184, 0.498, 0.643], [0.184, 0.498, 0.857], [0.314, 0.816, 0.643], [0.314, 0.816, 0.857], [0.355, 0.519, 0.750], [0.357, 0.520, 0.534], [0.357, 0.520, 0.966], [0.480, 0.836, 0.534], [0.480, 0.836, 0.966], [0.481, 0.836, 0.750], [0.498, 0.314, 0.143], [0.498, 0.314, 0.357], [0.502, 0.686, 0.643], [0.502, 0.686, 0.857], [0.519, 0.164, 0.250], [0.520, 0.164, 0.034], [0.520, 0.164, 0.466], [0.643, 0.480, 0.034], [0.643, 0.480, 0.466], [0.645, 0.481, 0.250], [0.686, 0.184, 0.143], [0.686, 0.184, 0.357], [0.816, 0.502, 0.143], [0.816, 0.502, 0.357], [0.836, 0.355, 0.250], [0.836, 0.357, 0.034], [0.836, 0.357, 0.466], [0.005, 0.627, 0.641], [0.005, 0.627, 0.859], [0.043, 0.333, 0.750], [0.044, 0.337, 0.542], [0.044, 0.337, 0.958], [0.290, 0.957, 0.750], [0.292, 0.956, 0.542], [0.292, 0.956, 0.958], [0.333, 0.290, 0.250], [0.333, 0.667, 0.063], [0.333, 0.667, 0.437], [0.337, 0.292, 0.042], [0.337, 0.292, 0.458], [0.373, 0.378, 0.641], [0.373, 0.378, 0.859], [0.378, 0.005, 0.141], [0.378, 0.005, 0.359], [0.622, 0.995, 0.641], [0.622, 0.995, 0.859], [0.627, 0.622, 0.141], [0.627, 0.622, 0.359], [0.663, 0.708, 0.542], [0.663, 0.708, 0.958], [0.667, 0.333, 0.563], [0.667, 0.333, 0.937], [0.667, 0.710, 0.750], [0.708, 0.044, 0.042], [0.708, 0.044, 0.458], [0.710, 0.043, 0.250], [0.956, 0.663, 0.042], [0.956, 0.663, 0.458], [0.957, 0.667, 0.250], [0.995, 0.373, 0.141], [0.995, 0.373, 0.359]]
}

---

{
  "formula": "CsMo3Se",
  "functional": "meta-GGA SCAN",
  "state": "PBEsol geometry",
  "final_energy_ev_per_atom": -29.005,
  "dos_at_fermi_per_ev_cell": 6.48,
  "lattice": [[4.863, 0.000, 0.000], [0.000, 4.863, 0.000], [0.000, 0.000, 4.863]],
  "species": ["Cs", "Mo", "Mo", "Mo", "Se"],
  "fractional_positions": [[0.000, 0.000, 0.000], [0.000, 0.000, 0.500], [0.000, 0.500, 0.000], [0.500, 0.000, 0.000], [0.500, 0.500, 0.500]]
}

---

{
  "formula": "CsSiMo3",
  "functional": "meta-GGA SCAN",
  "state": "PBEsol geometry",
  "final_energy_ev_per_atom": -28.606,
  "dos_at_fermi_per_ev_cell": 8.14,
  "lattice": [[4.675, 0.000, 0.000], [0.000, 4.675, 0.000], [0.000, 0.000, 4.675]],
  "species": ["Cs", "Si", "Mo", "Mo", "Mo"],
  "fractional_positions": [[0.000, 0.000, 0.000], [0.500, 0.500, 0.500], [0.000, 0.500, 0.500], [0.500, 0.000, 0.500], [0.500, 0.500, 0.000]]
}

---

{
  "formula": "CsTl2SiMo",
  "functional": "meta-GGA SCAN",
  "state": "PBEsol geometry",
  "final_energy_ev_per_atom": -45.315,
  "dos_at_fermi_per_ev_cell": 2.33,
  "lattice": [[5.417, 0.000, 0.000], [0.000, 5.417, 0.000], [0.000, 0.000, 4.840]],
  "species": ["Cs", "Tl", "Tl", "Si", "Mo"],
  "fractional_positions": [[0.000, 0.000, 0.000], [0.000, 0.500, 0.500], [0.500, 0.000, 0.500], [0.500, 0.500, 0.000], [0.500, 0.500, 0.500]]
}

---

{
  "formula": "CsSn3Mo",
  "functional": "meta-GGA SCAN",
  "state": "PBEsol geometry",
  "formation_energy_ev_per_atom": 0.026,
  "dos_at_fermi_per_ev_cell": 2.15,
  "lattice": [[5.278, 0.000, 0.000], [0.000, 5.278, 0.000], [0.000, 0.000, 5.278]],
  "species": ["Cs", "Sn", "Sn", "Sn", "Mo"],
  "fractional_positions": [[0.000, 0.000, 0.000], [0.000, 0.500, 0.500], [0.500, 0.000, 0.500], [0.500, 0.500, 0.000], [0.500, 0.500, 0.500]]
}

---

{
  "formula": "Cs3TaMo",
  "functional": "meta-GGA SCAN",
  "state": "PBEsol geometry",
  "polymorph_energy_mev_per_atom": 0.0,
  "formation_energy_ev_per_atom": 2.146,
  "dos_at_fermi_per_ev_cell": 2.27,
  "lattice": [[6.894, 0.000, 0.000], [0.000, 6.894, 0.000], [0.000, 0.000, 6.894]],
  "species": ["Cs", "Cs", "Cs", "Ta", "Mo"],
  "fractional_positions": [[0.000, 0.000, 0.500], [0.000, 0.500, 0.000], [0.500, 0.000, 0.000], [0.000, 0.000, 0.000], [0.500, 0.500, 0.500]]
}

---

{
  "formula": "Cs3Te17Mo15",
  "functional": "meta-GGA SCAN",
  "state": "PBEsol geometry",
  "final_energy_ev_per_atom": -36.744,
  "dos_at_fermi_per_ev_cell": 21.90,
  "lattice": [[10.140, 0.000, 0.000], [-5.070, 8.782, 0.000], [0.000, 0.000, 21.502]],
  "species": ["Cs", "Cs", "Cs", "Cs", "Cs", "Cs", "Te", "Te", "Te", "Te", "Te", "Te", "Te", "Te", "Te", "Te", "Te", "Te", "Te", "Te", "Te", "Te", "Te", "Te", "Te", "Te", "Te", "Te", "Te", "Te", "Te", "Te", "Te", "Te", "Te", "Te", "Te", "Te", "Te", "Te", "Mo", "Mo", "Mo", "Mo", "Mo", "Mo", "Mo", "Mo", "Mo", "Mo", "Mo", "Mo", "Mo", "Mo", "Mo", "Mo", "Mo", "Mo", "Mo", "Mo", "Mo", "Mo", "Mo", "Mo", "Mo", "Mo", "Mo", "Mo", "Mo", "Mo"],
  "fractional_positions": [[0.000, 0.000, 0.140], [0.000, 0.000, 0.360], [0.000, 0.000, 0.640], [0.000, 0.000, 0.860], [0.333, 0.667, 0.250], [0.667, 0.333, 0.750], [0.001, 0.630, 0.642], [0.001, 0.630, 0.858], [0.036, 0.329, 0.750], [0.036, 0.331, 0.543], [0.036, 0.331, 0.957], [0.293, 0.964, 0.750], [0.295, 0.964, 0.543], [0.295, 0.964, 0.957], [0.329, 0.293, 0.250], [0.331, 0.295, 0.043], [0.331, 0.295, 0.457], [0.333, 0.667, 0.067], [0.333, 0.667, 0.433], [0.370, 0.371, 0.642], [0.370, 0.371, 0.858], [0.371, 0.001, 0.142], [0.371, 0.001, 0.358], [0.629, 0.999, 0.642], [0.629, 0.999, 0.858], [0.630, 0.629, 0.142], [0.630, 0.629, 0.358], [0.667, 0.333, 0.567], [0.667, 0.333, 0.933], [0.669, 0.705, 0.543], [0.669, 0.705, 0.957], [0.671, 0.707, 0.750], [0.705, 0.036, 0.043], [0.705, 0.036, 0.457], [0.707, 0.036, 0.250], [0.964, 0.669, 0.043], [0.964, 0.669, 0.457], [0.964, 0.671, 0.250], [0.999, 0.370, 0.142], [0.999, 0.370, 0.358], [0.174, 0.647, 0.538], [0.174, 0.647, 0.962], [0.176, 0.649, 0.750], [0.190, 0.508, 0.644], [0.190, 0.508, 0.856], [0.318, 0.810, 0.644], [0.318, 0.810, 0.856], [0.351, 0.527, 0.750], [0.353, 0.528, 0.538], [0.353, 0.528, 0.962], [0.472, 0.826, 0.538], [0.472, 0.826, 0.962], [0.473, 0.824, 0.750], [0.492, 0.682, 0.644], [0.492, 0.682, 0.856], [0.508, 0.318, 0.144], [0.508, 0.318, 0.356], [0.527, 0.176, 0.250], [0.528, 0.174, 0.038], [0.528, 0.174, 0.462], [0.647, 0.472, 0.038], [0.647, 0.472, 0.462], [0.649, 0.473, 0.250], [0.682, 0.190, 0.144], [0.682, 0.190, 0.356], [0.810, 0.492, 0.144], [0.810, 0.492, 0.356], [0.824, 0.351, 0.250], [0.826, 0.353, 0.038], [0.826, 0.353, 0.462]]
}

---

{
  "formula": "CsTe7Mo6",
  "functional": "meta-GGA SCAN",
  "state": "PBEsol geometry",
  "final_energy_ev_per_atom": -36.702,
  "dos_at_fermi_per_ev_cell": 7.76,
  "lattice": [[5.095, 2.942, 8.427], [-5.095, 2.942, 8.427], [0.000, -5.884, 8.427]],
  "species": ["Cs", "Cs", "Te", "Te", "Te", "Te", "Te", "Te", "Te", "Te", "Te", "Te", "Te", "Te", "Te", "Te", "Mo", "Mo", "Mo", "Mo", "Mo", "Mo", "Mo", "Mo", "Mo", "Mo", "Mo", "Mo"],
  "fractional_positions": [[0.123, 0.123, 0.123], [0.877, 0.877, 0.877], [0.073, 0.332, 0.704], [0.124, 0.749, 0.486], [0.251, 0.514, 0.876], [0.275, 0.275, 0.275], [0.296, 0.927, 0.668], [0.332, 0.704, 0.073], [0.486, 0.124, 0.749], [0.514, 0.876, 0.251], [0.668, 0.296, 0.927], [0.704, 0.073, 0.332], [0.725, 0.725, 0.725], [0.749, 0.486, 0.124], [0.876, 0.251, 0.514], [0.927, 0.668, 0.296], [0.207, 0.502, 0.384], [0.312, 0.442, 0.613], [0.384, 0.207, 0.502], [0.387, 0.688, 0.558], [0.442, 0.613, 0.312], [0.498, 0.616, 0.793], [0.502, 0.384, 0.207], [0.558, 0.387, 0.688], [0.613, 0.312, 0.442], [0.616, 0.793, 0.498], [0.688, 0.558, 0.387], [0.793, 0.498, 0.616]]
}

---

{
  "formula": "CsMo3W",
  "functional": "meta-GGA SCAN",
  "state": "PBEsol geometry",
  "formation_energy_ev_per_atom": 2.070,
  "dos_at_fermi_per_ev_cell": 4.14,
  "lattice": [[4.918, 0.000, 0.000], [0.000, 4.918, 0.000], [0.000, 0.000, 4.918]],
  "species": ["Cs", "Mo", "Mo", "Mo", "W"],
  "fractional_positions": [[0.000, 0.000, 0.000], [0.000, 0.500, 0.500], [0.500, 0.000, 0.500], [0.500, 0.500, 0.000], [0.500, 0.500, 0.500]]
}

---

{
  "formula": "Cs2Mo2W",
  "functional": "meta-GGA SCAN",
  "state": "PBEsol geometry",
  "formation_energy_ev_per_atom": 2.296,
  "dos_at_fermi_per_ev_cell": 4.90,
  "lattice": [[-2.060, 2.060, 7.980], [2.060, -2.060, 7.980], [2.060, 2.060, -7.980]],
  "species": ["Cs", "Cs", "Mo", "Mo", "W"],
  "fractional_positions": [[0.250, 0.750, 0.500], [0.750, 0.250, 0.500], [0.065, 0.065, 0.000], [0.935, 0.935, 0.000], [0.500, 0.500, 0.000]]
}